The following is a DFT calculation (PBE) of an optimized crystal structure of Mg2Tl3Cd.

Properties
Total magnetization ... 0.0 μB/f.u.
E_form ... 0.0192 eV/atom
Calculated density ... 8.030 Mg/m³

Cell: 6.6771 6.6771 7.6677 Å, 80.76 80.76 104.02°
Element x y z (fractional)
Mg: 0.1618 0.5842 0.6203
Mg: 0.5842 0.1618 0.1203
Mg: 0.4158 0.8382 0.8797
Mg: 0.8382 0.4158 0.3797
Tl: 0.4550 0.5450 0.2500
Tl: 0.5450 0.4550 0.7500
Tl: 0.9038 0.7331 0.9447
Tl: 0.2669 0.0962 0.5553
Tl: 0.7331 0.9038 0.4447
Tl: 0.0962 0.2669 0.0553
Cd: 0.8369 0.1631 0.7500
Cd: 0.1631 0.8369 0.2500